Entry 1:
A plane-wave DFT calculation with GGA-PBE was carried out for an optimized crystal structure of In3Pd5Pt.

Properties
energy of formation from the pure elements	-0.4666	eV/atom
DFT total energy	-4.935	eV/atom
M_tot	0.00	μB per formula unit

a = 7.9188 Å, b = 7.9188 Å, c = 5.6773 Å
α = 90.00°, β = 90.00°, γ = 120.00°
Space group P6_3/mcm (No. 193)
One atom of each set of equivalent atoms:
In 0.0000 0.3369 0.2500
Pd 0.0000 0.3298 0.7500
Pd 0.3333 0.6667 0.0000
Pt 0.0000 0.0000 0.0000

***

Entry 2:
A plane-wave DFT calculation with GGA-PBE was carried out for an optimized crystal structure of InPd2Pt.

Properties
energy of formation from the pure elements	-0.1102	eV/atom
DFT total energy	-4.901	eV/atom
M_tot	0.00	μB per formula unit

a = 3.882 Å, b = 3.882 Å, c = 19.238 Å
α = 90.00°, β = 90.00°, γ = 90.00°
Space group I-42d (No. 122)
One atom of each set of equivalent atoms:
In 0.000 0.000 0.000
Pd 0.244 0.250 0.625
Pt 0.000 0.000 0.500

***

Entry 3:
A plane-wave DFT calculation with GGA-PBE was carried out for an optimized crystal structure of In3Pd3Pt.

Properties
energy of formation from the pure elements	-0.2880	eV/atom
DFT total energy	-4.550	eV/atom
M_tot	0.00	μB per formula unit
relative energy among the computed polymorphs	57	meV per atom

a = 6.394 Å, b = 11.729 Å, c = 7.614 Å
α = 90.00°, β = 103.23°, γ = 90.00°
Space group C2/m (No. 12)
One atom of each set of equivalent atoms:
In 0.135 0.202 0.215
In 0.246 0.000 0.569
Pd 0.000 0.308 0.500
Pd 0.000 0.378 0.000
Pd 0.114 0.000 0.869
Pt 0.162 0.500 0.759

***

Entry 4:
A plane-wave DFT calculation with GGA-PBE was carried out for an optimized crystal structure of In2Pd4Pt.

Properties
energy of formation from the pure elements	-0.3443	eV/atom
DFT total energy	-4.957	eV/atom
M_tot	0.00	μB per formula unit
relative energy among the computed polymorphs	0	meV per atom

a = 7.644 Å, b = 8.170 Å, c = 4.047 Å
α = 90.00°, β = 90.00°, γ = 90.00°
Space group Cmmm (No. 65)
One atom of each set of equivalent atoms:
In 0.231 0.000 0.000
Pd 0.000 0.254 0.000
Pd 0.250 0.250 0.500
Pt 0.000 0.500 0.500

***

Entry 5:
A plane-wave DFT calculation with GGA-PBE was carried out for an optimized crystal structure of In3PdPt.

Properties
energy of formation from the pure elements	-0.3593	eV/atom
DFT total energy	-4.249	eV/atom
M_tot	0.00	μB per formula unit
relative energy among the computed polymorphs	0	meV per atom

a = 4.397 Å, b = 8.116 Å, c = 5.752 Å
α = 90.00°, β = 90.00°, γ = 90.00°
Space group Pmmn (No. 59, origin choice 2)
One atom of each set of equivalent atoms:
In 0.250 0.057 0.241
In 0.250 0.250 0.738
Pd 0.250 0.750 0.521
Pt 0.250 0.750 0.994

***

Entry 6:
A plane-wave DFT calculation with GGA-PBE was carried out for an optimized crystal structure of In2PdPt3.

Properties
energy of formation from the pure elements	-0.2694	eV/atom
DFT total energy	-5.068	eV/atom
M_tot	0.00	μB per formula unit
relative energy among the computed polymorphs	0	meV per atom

a = 8.464 Å, b = 10.312 Å, c = 5.524 Å
α = 90.00°, β = 90.00°, γ = 90.00°
Space group Ibam (No. 72)
One atom of each set of equivalent atoms:
In 0.231 0.138 0.000
Pd 0.000 0.500 0.000
Pt 0.000 0.000 0.250
Pt 0.000 0.271 0.250

***

Entry 7:
A plane-wave DFT calculation with GGA-PBE was carried out for an optimized crystal structure of In2Pd2Pt7.

Properties
energy of formation from the pure elements	-0.1482	eV/atom
DFT total energy	-5.434	eV/atom
M_tot	0.00	μB per formula unit

a = 7.445 Å, b = 8.359 Å, c = 6.375 Å
α = 90.00°, β = 107.40°, γ = 90.00°
Space group C2/m (No. 12)
One atom of each set of equivalent atoms:
In 0.000 0.222 0.000
Pd 0.193 0.500 0.969
Pt 0.000 0.500 0.500
Pt 0.111 0.000 0.353
Pt 0.171 0.229 0.674

***

Entry 8:
A plane-wave DFT calculation with GGA-PBE was carried out for an optimized crystal structure of In2PdPt4.

Properties
energy of formation from the pure elements	0.0667	eV/atom
DFT total energy	-4.909	eV/atom
M_tot	0.00	μB per formula unit
relative energy among the computed polymorphs	227	meV per atom

a = 5.045 Å, b = 5.045 Å, c = 10.751 Å
α = 90.00°, β = 90.00°, γ = 90.00°
Space group I4/mmm (No. 139)
One atom of each set of equivalent atoms:
In 0.000 0.000 0.148
Pd 0.000 0.000 0.500
Pt 0.000 0.500 0.000
Pt 0.000 0.500 0.250

***

Entry 9:
A plane-wave DFT calculation with GGA-PBE was carried out for an optimized crystal structure of In2Pd5Pt4.

Properties
energy of formation from the pure elements	-0.3091	eV/atom
DFT total energy	-5.364	eV/atom
M_tot	0.00	μB per formula unit

a = 4.842 Å, b = 6.408 Å, c = 6.452 Å
α = 108.04°, β = 104.92°, γ = 98.02°
Space group P-1 (No. 2)
One atom of each set of equivalent atoms:
In 0.053 0.406 0.202
Pd 0.145 0.221 0.554
Pd 0.408 0.691 0.632
Pd 0.500 0.500 0.000
Pt 0.232 0.047 0.911
Pt 0.308 0.858 0.260

***

Entry 10:
A plane-wave DFT calculation with GGA-PBE was carried out for an optimized crystal structure of In11Pd9Pt4.

Properties
energy of formation from the pure elements	-0.4390	eV/atom
DFT total energy	-4.648	eV/atom
M_tot	0.00	μB per formula unit

a = 13.348 Å, b = 19.951 Å, c = 3.269 Å
α = 90.00°, β = 90.00°, γ = 90.00°
Space group Cmmm (No. 65)
One atom of each set of equivalent atoms:
In 0.000 0.000 0.000
In 0.000 0.178 0.000
In 0.000 0.373 0.000
In 0.232 0.176 0.000
In 0.244 0.000 0.000
Pd 0.000 0.500 0.500
Pd 0.112 0.266 0.500
Pd 0.113 0.087 0.500
Pt 0.161 0.409 0.500

***

Entry 11:
A plane-wave DFT calculation with GGA-PBE was carried out for an optimized crystal structure of InPd3Pt2.

Properties
energy of formation from the pure elements	-0.1547	eV/atom
DFT total energy	-5.221	eV/atom
M_tot	0.00	μB per formula unit
relative energy among the computed polymorphs	129	meV per atom

a = 14.025 Å, b = 5.148 Å, c = 5.535 Å
α = 90.00°, β = 90.00°, γ = 90.00°
Space group Cmcm (No. 63)
One atom of each set of equivalent atoms:
In 0.000 0.239 0.250
Pd 0.000 0.260 0.750
Pd 0.175 0.006 0.750
Pt 0.155 0.500 0.000

***

Entry 12:
A plane-wave DFT calculation with GGA-PBE was carried out for an optimized crystal structure of In2Pd7Pt2.

Properties
energy of formation from the pure elements	-0.1305	eV/atom
DFT total energy	-5.031	eV/atom
M_tot	0.00	μB per formula unit
relative energy among the computed polymorphs	71	meV per atom

a = 2.891 Å, b = 13.745 Å, c = 9.485 Å
α = 90.00°, β = 90.00°, γ = 90.00°
Space group Imm2 (No. 44)
One atom of each set of equivalent atoms:
In 0.000 0.180 0.000
Pd 0.000 0.000 0.141
Pd 0.000 0.149 0.508
Pd 0.000 0.329 0.744
Pd 0.000 0.345 0.257
Pt 0.000 0.000 0.847
Pt 0.000 0.500 0.894

***

Entry 13:
A plane-wave DFT calculation with GGA-PBE was carried out for an optimized crystal structure of In2Pd5Pt5.

Properties
energy of formation from the pure elements	-0.2411	eV/atom
DFT total energy	-5.378	eV/atom
M_tot	0.00	μB per formula unit
relative energy among the computed polymorphs	46	meV per atom

a = 12.202 Å, b = 4.085 Å, c = 8.775 Å
α = 90.00°, β = 117.30°, γ = 90.00°
Space group C2/m (No. 12)
One atom of each set of equivalent atoms:
In 0.156 0.000 0.000
Pd 0.000 0.000 0.500
Pd 0.086 0.000 0.258
Pd 0.248 0.000 0.750
Pt 0.000 0.500 0.000
Pt 0.086 0.500 0.751
Pt 0.166 0.500 0.499

***

Entry 14:
A plane-wave DFT calculation with GGA-PBE was carried out for an optimized crystal structure of InPd8Pt2.

Properties
energy of formation from the pure elements	-0.1814	eV/atom
DFT total energy	-5.305	eV/atom
M_tot	0.00	μB per formula unit
relative energy among the computed polymorphs	0	meV per atom

a = 14.344 Å, b = 3.998 Å, c = 6.262 Å
α = 90.00°, β = 105.02°, γ = 90.00°
Space group C2/m (No. 12)
One atom of each set of equivalent atoms:
In 0.000 0.000 0.000
Pd 0.046 0.500 0.726
Pd 0.092 0.000 0.455
Pd 0.137 0.500 0.183
Pd 0.183 0.000 0.909
Pt 0.226 0.500 0.633

***

Entry 15:
A plane-wave DFT calculation with GGA-PBE was carried out for an optimized crystal structure of InPd8Pt6.

Properties
energy of formation from the pure elements	0.0324	eV/atom
DFT total energy	-5.336	eV/atom
M_tot	0.01	μB per formula unit
relative energy among the computed polymorphs	0	meV per atom

a = 6.8835 Å, b = 6.8835 Å, c = 17.9829 Å
α = 90.00°, β = 90.00°, γ = 120.00°
Space group R-3 (No. 148, hexagonal axes)
One atom of each set of equivalent atoms:
In 0.0000 0.0000 0.0000
Pd 0.0000 0.0000 0.1650
Pd 0.0459 0.7853 0.5597
Pt 0.0301 0.7841 0.7116

***

Entry 16:
A plane-wave DFT calculation with GGA-PBE was carried out for an optimized crystal structure of InPd6Pt8.

Properties
energy of formation from the pure elements	0.0138	eV/atom
DFT total energy	-5.468	eV/atom
M_tot	0.00	μB per formula unit

a = 6.8794 Å, b = 6.8794 Å, c = 17.9553 Å
α = 90.00°, β = 90.00°, γ = 120.00°
Space group R-3 (No. 148, hexagonal axes)
One atom of each set of equivalent atoms:
In 0.0000 0.0000 0.0000
Pd 0.0366 0.7866 0.7112
Pt 0.0000 0.0000 0.1626
Pt 0.0423 0.7854 0.5588

***

Entry 17:
A plane-wave DFT calculation with GGA-PBE was carried out for an optimized crystal structure of In3PdPt6.

Properties
energy of formation from the pure elements	-0.3332	eV/atom
DFT total energy	-5.298	eV/atom
M_tot	0.00	μB per formula unit

a = 7.651 Å, b = 4.729 Å, c = 9.979 Å
α = 90.00°, β = 110.02°, γ = 90.00°
Space group P2_1/m (No. 11)
One atom of each set of equivalent atoms:
In 0.074 0.250 0.232
In 0.297 0.250 0.020
In 0.319 0.750 0.384
Pd 0.103 0.750 0.562
Pt 0.098 0.250 0.726
Pt 0.107 0.750 0.074
Pt 0.293 0.250 0.533
Pt 0.308 0.750 0.862
Pt 0.483 0.250 0.319
Pt 0.495 0.250 0.828

***

Entry 18:
A plane-wave DFT calculation with GGA-PBE was carried out for an optimized crystal structure of In2Pd7Pt2.

Properties
energy of formation from the pure elements	-0.2012	eV/atom
DFT total energy	-5.102	eV/atom
M_tot	0.00	μB per formula unit
relative energy among the computed polymorphs	0	meV per atom

a = 7.222 Å, b = 8.169 Å, c = 6.563 Å
α = 90.00°, β = 104.98°, γ = 90.00°
Space group C2/m (No. 12)
One atom of each set of equivalent atoms:
In 0.000 0.209 0.000
Pd 0.000 0.500 0.500
Pd 0.172 0.500 0.939
Pd 0.189 0.214 0.680
Pt 0.107 0.000 0.350

***

Entry 19:
A plane-wave DFT calculation with GGA-PBE was carried out for an optimized crystal structure of In6PdPt8.

Properties
energy of formation from the pure elements	-0.2730	eV/atom
DFT total energy	-4.936	eV/atom
M_tot	0.00	μB per formula unit

a = 7.8317 Å, b = 7.8317 Å, c = 16.5162 Å
α = 90.00°, β = 90.00°, γ = 120.00°
Space group R-3 (No. 148, hexagonal axes)
One atom of each set of equivalent atoms:
In 0.0050 0.7139 0.1016
Pd 0.0000 0.0000 0.5000
Pt 0.0000 0.0000 0.2004
Pt 0.0036 0.3681 0.0586